Entry 1:
# Dy2Co3NiAs4

Dy2Co3NiAs4 after structural relaxation (PBE, Alexandria).

The structure in POSCAR format:
```
Dy2Co3NiAs4
1.0
4.0976 0.0000 0.0000
0.0000 4.0976 0.0000
0.0000 0.0000 9.4364
Dy Co Ni As
2 3 1 4
Cartesian
0.0000 2.0488 2.3481
2.0488 0.0000 7.0883
0.0000 2.0488 8.3330
2.0488 0.0000 1.1034
2.0488 2.0488 4.7182
0.0000 0.0000 4.7182
0.0000 0.0000 0.0000
0.0000 2.0488 6.0181
2.0488 0.0000 3.4183
2.0488 2.0488 0.0000
```

Energy of formation from the pure elements ... -0.740 eV/atom
Fermi-level density of states ... 0.600 states/eV per atom
Spin magnetization ... 0.94 μB/f.u.


Entry 2:
# Er2CoAs

Er2CoAs after structural relaxation (PBE, Alexandria).

The structure in POSCAR format:
```
Er2CoAs
1.0
3.7701 0.0000 0.0000
-1.8851 3.2650 0.0000
0.0000 0.0000 25.2778
Er Co As
6 3 3
Cartesian
0.0000 0.0000 2.4835
0.0000 0.0000 22.7944
0.0000 2.1767 14.3684
0.0000 2.1767 19.3354
1.8851 1.0883 5.9425
1.8851 1.0883 10.9094
0.0000 0.0000 0.0000
0.0000 2.1767 16.8519
1.8851 1.0883 8.4259
0.0000 0.0000 12.6389
0.0000 2.1767 4.2130
1.8851 1.0883 21.0649
```

Energy of formation from the pure elements ... 0.046 eV/atom
Fermi-level density of states ... 0.852 states/eV per atom
Spin magnetization ... 0.92 μB/f.u.


Entry 3:
# ErCo2As2

ErCo2As2 after structural relaxation (PBE, Alexandria).

The structure in POSCAR format:
```
ErCo2As2
1.0
2.5576 -6.7990 0.0000
2.5576 6.7990 0.0000
-2.5550 0.0000 4.7740
Er Co As
2 4 4
Cartesian
0.6414 5.1027 3.5805
1.9189 -5.1027 1.1935
-0.6373 1.6997 4.1983
0.6401 -1.6997 1.8113
1.9202 1.6997 2.9628
3.1977 -1.6997 0.5757
1.9189 3.2987 1.1935
1.9189 0.0986 1.1935
0.6414 -0.0986 3.5805
0.6414 -3.2987 3.5805
```

Energy of formation from the pure elements ... -0.458 eV/atom
Fermi-level density of states ... 0.584 states/eV per atom
Spin magnetization ... 0.00 μB/f.u.


Entry 4:
# Er2Co12As7

Er2Co12As7 after structural relaxation (PBE, Alexandria).

The structure in POSCAR format:
```
Er2Co12As7
1.0
9.3470 0.0000 0.0000
-4.6735 8.0947 0.0000
0.0000 0.0000 3.7145
Er Co As
2 12 7
Cartesian
0.0000 0.0000 0.0000
0.0000 5.3965 1.8572
-0.8742 2.2739 1.8572
-2.3644 5.7477 0.0000
-2.2671 7.7148 1.8572
0.8780 3.1733 0.0000
2.8077 1.4447 0.0000
3.0133 3.5196 1.8572
4.7922 0.8498 1.8572
1.4863 7.2685 0.0000
3.1413 6.2007 1.8572
4.5207 4.9408 0.0000
6.6920 1.7092 0.0000
6.2149 3.7253 1.8572
-1.4065 3.6421 0.0000
1.4050 1.7809 1.8572
-0.8161 7.4918 0.0000
2.2226 5.0556 0.0000
4.6735 2.6982 0.0000
7.1022 0.3264 1.8572
5.5133 5.9875 1.8572
```

Energy of formation from the pure elements ... -0.467 eV/atom
Fermi-level density of states ... 0.609 states/eV per atom
Spin magnetization ... 5.71 μB/f.u.


Entry 5:
# Er8Co2As

Er8Co2As after structural relaxation (PBE, Alexandria).

The structure in POSCAR format:
```
Er8Co2As
1.0
4.0180 -6.1061 0.0000
4.0180 6.1061 0.0000
-1.2374 0.0000 5.6659
Er Co As
8 2 1
Cartesian
0.8719 1.6502 3.4997
4.0180 3.1987 0.0000
0.8719 -1.6502 3.4997
2.7337 0.0000 1.1730
4.0649 0.0000 4.4929
5.9267 1.6502 2.1661
4.0180 -3.1987 0.0000
5.9267 -1.6502 2.1661
3.3993 2.2808 2.8329
3.3993 -2.2808 2.8329
0.0000 0.0000 0.0000
```

Energy of formation from the pure elements ... -0.241 eV/atom
Fermi-level density of states ... 0.622 states/eV per atom
Spin magnetization ... 0.00 μB/f.u.


Entry 6:
# ErCo4As2

ErCo4As2 after structural relaxation (PBE, Alexandria).

The structure in POSCAR format:
```
ErCo4As2
1.0
7.2271 0.0000 0.0000
0.0000 7.2271 0.0000
0.0000 0.0000 3.7054
Er Co As
2 8 4
Cartesian
0.0000 0.0000 0.0000
3.6136 3.6136 1.8527
0.5974 2.5249 1.8527
1.0887 4.2109 0.0000
2.5249 0.5974 1.8527
3.0162 6.1384 0.0000
4.2109 1.0887 0.0000
4.7023 6.6297 1.8527
6.1384 3.0162 0.0000
6.6297 4.7023 1.8527
1.5931 5.6340 1.8527
2.0204 2.0204 0.0000
5.2067 5.2067 0.0000
5.6340 1.5931 1.8527
```

Energy of formation from the pure elements ... -0.505 eV/atom
Fermi-level density of states ... 1.107 states/eV per atom
Spin magnetization ... 3.05 μB/f.u.


Raw total energy for every record listed, in sequence, given in eV/atom: -6.230, -5.175, -6.072, -6.512, -5.274, -6.545.